This record from Alexandria via LeMat-Bulk describes a geometry-optimized ZnIr2Os structure. The functional is PBE.

space-group type: I4/mmm (139)
E_tot: -7.4649 eV per atom

Cell: 4.7134 4.7134 4.7134 Å, 131.63 131.63 70.81°
Closest atoms and distances in Å follow each position.
Fractional positions:
Ir  0.0000  0.0000  0.0000  4 Os 2.72, 4 Zn 2.72, 4 Ir 2.73
Ir  0.5000  0.5000  0.0000  4 Os 2.72, 4 Zn 2.72, 4 Ir 2.73
Zn  0.7500  0.2500  0.5000  8 Ir 2.72, 4 Os 2.73
Os  0.2500  0.7500  0.5000  8 Ir 2.72, 4 Zn 2.73

This record from Alexandria via LeMat-Bulk describes a geometry-optimized KReTe2Ru structure. The functional is PBE.

formation energy (no corrections): 2.8549 eV per atom
space-group type: P4/mmm (123)
E_tot: -2.9661 eV per atom

Cell: 5.6150 4.8332 5.6150 Å, 90.00 90.00 90.00°
Closest atoms and distances in Å follow each position.
Fractional positions:
Te  0.5000  0.0000  0.0000  2 K 2.81
Te  0.0000  0.0000  0.5000  2 K 2.81
Re  0.0000  0.5000  0.0000  2 K 2.42
Ru  0.5000  0.5000  0.5000  8 Te 3.70, 4 Re 3.97
K  0.0000  0.0000  0.0000  2 Re 2.42

This record from Alexandria via LeMat-Bulk describes a geometry-optimized ZnCo2Ni structure. The functional is PBE.

space-group type: C2/m (12)
E_tot: -5.3242 eV per atom

Cell: 4.4457 4.4457 4.3303 Å, 79.85 79.85 33.22°
Closest atoms and distances in Å follow each position.
Fractional positions:
Co  0.4952  0.4952  0.5067  6 Co 2.47-2.55, 3 Ni 2.51-2.58, 3 Zn 2.54-2.58
Co  0.0048  0.0048  0.9933  6 Co 2.47-2.55, 3 Ni 2.51-2.58, 3 Zn 2.54-2.58
Zn  0.2500  0.2500  0.2500  4 Ni 2.51, 6 Co 2.54-2.58, 2 Zn 2.54
Ni  0.7500  0.7500  0.7500  6 Co 2.51-2.58, 4 Zn 2.51, 2 Ni 2.54

This record from Alexandria via LeMat-Bulk describes a geometry-optimized HfZrCd3 structure. The functional is PBE.

space-group type: Cmcm (63)
E_tot: -4.0940 eV per atom
excess energy over the best structure of this formula in the dataset: 0.0 kJ per mole of atoms

Cell: 4.5735 11.2434 8.7632 Å, 90.00 90.00 90.00°
Closest atoms and distances in Å follow each position.
Fractional positions:
Cd  0.5000  0.6853  0.9517  5 Cd 2.84-3.04, 2 Hf 3.08-3.09, 2 Zr 3.12
Cd  0.0000  0.6765  0.7500  6 Cd 2.89-3.04, 2 Zr 2.96, 1 Hf 3.18
Cd  0.0000  0.1853  0.5483  5 Cd 2.84-3.04, 2 Hf 3.08-3.09, 2 Zr 3.12
Cd  0.0000  0.8147  0.4517  5 Cd 2.84-3.04, 2 Hf 3.08-3.09, 2 Zr 3.12
Cd  0.5000  0.1765  0.7500  6 Cd 2.89-3.04, 2 Zr 2.96, 1 Hf 3.18
Cd  0.5000  0.8235  0.2500  6 Cd 2.89-3.04, 2 Zr 2.96, 1 Hf 3.18
Cd  0.5000  0.3147  0.4517  5 Cd 2.84-3.04, 2 Hf 3.08-3.09, 2 Zr 3.12
Cd  0.0000  0.3235  0.2500  6 Cd 2.89-3.04, 2 Zr 2.96, 1 Hf 3.18
Cd  0.0000  0.8147  0.0483  5 Cd 2.84-3.04, 2 Hf 3.08-3.09, 2 Zr 3.12
Cd  0.5000  0.6853  0.5483  5 Cd 2.84-3.04, 2 Hf 3.08-3.09, 2 Zr 3.12
Cd  0.5000  0.3147  0.0483  5 Cd 2.84-3.04, 2 Hf 3.08-3.09, 2 Zr 3.12
Cd  0.0000  0.1853  0.9517  5 Cd 2.84-3.04, 2 Hf 3.08-3.09, 2 Zr 3.12
Zr  0.5000  0.0000  0.0000  6 Cd 2.96-3.12, 4 Hf 3.20
Zr  0.0000  0.5000  0.5000  6 Cd 2.96-3.12, 4 Hf 3.20
Zr  0.0000  0.5000  0.0000  6 Cd 2.96-3.12, 4 Hf 3.20
Zr  0.5000  0.0000  0.5000  6 Cd 2.96-3.12, 4 Hf 3.20
Hf  0.0000  0.0404  0.2500  7 Cd 3.08-3.34, 4 Zr 3.20
Hf  0.5000  0.5404  0.2500  7 Cd 3.08-3.34, 4 Zr 3.20
Hf  0.5000  0.4596  0.7500  7 Cd 3.08-3.34, 4 Zr 3.20
Hf  0.0000  0.9596  0.7500  7 Cd 3.08-3.34, 4 Zr 3.20

This record from Alexandria via LeMat-Bulk describes a geometry-optimized LaPF2 structure. The functional is PBE.

formation energy (no corrections): -2.2780 eV per atom
space-group type: R-3m (166)
E_tot: -5.7980 eV per atom
excess energy over the best structure of this formula in the dataset: 0.0 kJ per mole of atoms

Cell: 6.2659 6.2659 6.2659 Å, 37.37 37.37 37.37°
Closest atoms and distances in Å follow each position.
Fractional positions:
La  0.0000  0.0000  0.0000  6 F 2.40
P  0.5000  0.5000  0.5000  8 F 3.27-3.52
F  0.2984  0.2984  0.2984  3 La 2.40, 3 F 2.62
F  0.7016  0.7016  0.7016  3 La 2.40, 3 F 2.62

This record from Alexandria via LeMat-Bulk describes a geometry-optimized ZnCdBi2 structure. The functional is PBE.

space-group type: P4/mmm (123)
E_tot: -2.3344 eV per atom
excess energy over the best structure of this formula in the dataset: 2.8 kJ per mole of atoms

Cell: 3.5451 3.5451 8.3524 Å, 90.00 90.00 90.00°
Closest atoms and distances in Å follow each position.
Fractional positions:
Cd  0.5000  0.5000  0.5000  8 Bi 3.40, 4 Cd 3.55
Bi  0.0000  0.0000  0.7756  4 Zn 3.13, 4 Cd 3.40
Bi  0.0000  0.0000  0.2244  4 Zn 3.13, 4 Cd 3.40
Zn  0.5000  0.5000  0.0000  8 Bi 3.13

This record from Alexandria via LeMat-Bulk describes a geometry-optimized MgSc3 structure. The functional is PBE.

space-group type: I4/mmm (139)
E_tot: -5.0973 eV per atom
excess energy over the best structure of this formula in the dataset: 5.8 kJ per mole of atoms

Cell: 5.6071 5.6071 5.6071 Å, 131.57 131.57 70.92°
Closest atoms and distances in Å follow each position.
Fractional positions:
Sc  0.5000  0.5000  0.0000  8 Sc 3.24, 4 Mg 3.25
Sc  0.7500  0.2500  0.5000  8 Sc 3.24-3.25, 4 Mg 3.24
Sc  0.2500  0.7500  0.5000  8 Sc 3.24-3.25, 4 Mg 3.24
Mg  0.0000  0.0000  0.0000  12 Sc 3.24-3.25

This record from Alexandria via LeMat-Bulk describes a geometry-optimized Pu2PbC structure. The functional is PBE.

space-group type: P4/mmm (123)
E_tot: -10.3749 eV per atom

Cell: 3.1567 3.1567 8.2900 Å, 90.00 90.00 90.00°
Closest atoms and distances in Å follow each position.
Fractional positions:
Pb  0.5000  0.5000  0.5000  4 Pb 3.16
Pu  0.0000  0.0000  0.1682  4 C 2.63, 1 Pu 2.79
Pu  0.0000  0.0000  0.8318  4 C 2.63, 1 Pu 2.79
C  0.5000  0.5000  0.0000  8 Pu 2.63

This record from Alexandria via LeMat-Bulk describes a geometry-optimized TcHgSeBr2 structure. The functional is PBE.

formation energy (no corrections): 0.0952 eV per atom
space-group type: P4/mmm (123)
E_tot: -3.4044 eV per atom
excess energy over the best structure of this formula in the dataset: 0.0 kJ per mole of atoms

Cell: 5.2799 5.2799 4.7637 Å, 90.00 90.00 90.00°
Closest atoms and distances in Å follow each position.
Fractional positions:
Br  0.0000  0.5000  0.0000  2 Tc 2.64
Br  0.5000  0.0000  0.0000  2 Tc 2.64
Hg  0.5000  0.5000  0.5000  8 Br 3.56, 4 Se 3.73
Tc  0.0000  0.0000  0.0000  2 Se 2.38, 4 Br 2.64
Se  0.0000  0.0000  0.5000  2 Tc 2.38

This record from Alexandria via LeMat-Bulk describes a geometry-optimized Tm3ThSn3 structure. The functional is PBE.

space-group type: P6_3/m (176)
E_tot: -5.1857 eV per atom

Cell: 5.4071 9.0929 9.0929 Å, 120.00 90.00 90.00°
Closest atoms and distances in Å follow each position.
Fractional positions:
Sn  0.7500  0.6275  0.5537  4 Tm 3.00-3.29, 1 Th 3.31
Sn  0.2500  0.3725  0.4463  4 Tm 3.00-3.29, 1 Th 3.31
Sn  0.7500  0.9262  0.3725  4 Tm 3.00-3.29, 1 Th 3.31
Sn  0.2500  0.5537  0.9262  4 Tm 3.00-3.29, 1 Th 3.31
Sn  0.7500  0.4463  0.0738  4 Tm 3.00-3.29, 1 Th 3.31
Sn  0.2500  0.0738  0.6275  4 Tm 3.00-3.29, 1 Th 3.31
Th  0.2500  0.6667  0.3333  9 Sn 3.31-3.49, 3 Tm 3.52
Th  0.7500  0.3333  0.6667  9 Sn 3.31-3.49, 3 Tm 3.52
Tm  0.2500  0.7681  0.7613  4 Sn 3.00-3.29
Tm  0.7500  0.2319  0.2387  4 Sn 3.00-3.29
Tm  0.2500  0.2387  0.0068  4 Sn 3.00-3.29
Tm  0.7500  0.7613  0.9932  4 Sn 3.00-3.29
Tm  0.2500  0.9932  0.2319  4 Sn 3.00-3.29
Tm  0.7500  0.0068  0.7681  4 Sn 3.00-3.29

This record from Alexandria via LeMat-Bulk describes a geometry-optimized LiNdCuPd2 structure. The functional is PBE.

space-group type: I-4m2 (119)
E_tot: -4.7128 eV per atom

Cell: 3.9227 3.9227 6.6607 Å, 107.13 107.13 90.00°
Closest atoms and distances in Å follow each position.
Fractional positions:
Pd  0.3883  0.3883  0.7767  2 Cu 2.58, 2 Li 2.58, 1 Pd 2.70
Pd  0.6117  0.6117  0.2233  2 Cu 2.58, 2 Li 2.58, 1 Pd 2.70
Li  0.7500  0.2500  0.5000  4 Pd 2.58, 4 Cu 2.77
Cu  0.2500  0.7500  0.5000  4 Pd 2.58, 4 Li 2.77
Nd  0.0000  0.0000  0.0000  8 Pd 3.09

This record from Alexandria via LeMat-Bulk describes a geometry-optimized KSrW2 structure. The functional is PBE.

space-group type: Fm-3m (225)
E_tot: -4.6182 eV per atom
excess energy over the best structure of this formula in the dataset: 166.3 kJ per mole of atoms

Cell: 5.3773 5.3773 5.3773 Å, 60.00 60.00 60.00°
Closest atoms and distances in Å follow each position.
Fractional positions:
K  0.0000  0.0000  0.0000  8 W 3.29
W  0.7500  0.7500  0.7500  4 Sr 3.29, 4 K 3.29
W  0.2500  0.2500  0.2500  4 K 3.29, 4 Sr 3.29
Sr  0.5000  0.5000  0.5000  8 W 3.29

Computed magnetization (Bohr magnetons per cell) in order:
0.221 6.240 3.479 0.000 0.000 0.000 1.732 10.370 0.980 0.000 0.000 5.736